(1)
The following is a GGA-PBE calculation of a relaxed VZn4N4 crystal, from Alexandria.

## Properties
The uncorrected formation energy comes out at -89 meV/atom.

Lattice parameters (Å, degrees): 5.345 5.400 8.237 76.35 78.95 71.41
Space group P-1 (No. 2)
Unique sites:
V 0.176 0.163 0.223
Zn 0.154 0.639 0.382
Zn 0.266 0.738 0.998
Zn 0.278 0.279 0.800
Zn 0.403 0.780 0.601
N 0.005 0.942 0.178
N 0.079 0.615 0.644
N 0.323 0.333 0.025
N 0.436 0.946 0.347

---

(2)
The following is a GGA-PBE calculation of a relaxed V6ZnN crystal, from Alexandria.

## Properties
The uncorrected formation energy comes out at -279 meV/atom.

Lattice parameters (Å, degrees): 4.465 4.914 4.970 97.97 108.80 93.20
Space group P-1 (No. 2)
Unique sites:
V 0.066 0.296 0.143
V 0.210 0.852 0.432
V 0.404 0.411 0.733
Zn 0.500 0.000 0.000
N 0.000 0.500 0.500

---

(3)
The following is a GGA-PBE calculation of a relaxed V2ZnN crystal, from Alexandria.

## Properties
The uncorrected formation energy comes out at -651 meV/atom.

Lattice parameters (Å, degrees): 2.8962 2.8962 19.5662 90.00 90.00 120.00
Space group R-3m (No. 166, hexagonal axes)
Unique sites:
V 0.0000 0.0000 0.2216
Zn 0.0000 0.0000 0.0000
N 0.0000 0.0000 0.5000

---

(4)
The following is a GGA-PBE calculation of a relaxed VZnN2 crystal, from Alexandria.

## Properties
The uncorrected formation energy comes out at -284 meV/atom.

Lattice parameters (Å, degrees): 2.9131 2.9131 17.9539 90.00 90.00 120.00
Space group R-3m (No. 166, hexagonal axes)
Unique sites:
V 0.0000 0.0000 0.0000
Zn 0.0000 0.0000 0.5000
N 0.0000 0.0000 0.3945